(1)
This record from Alexandria via LeMat-Bulk describes Er2CrRe3 after structural relaxation. The functional is GGA-PBE.

Cell and atoms, written as POSCAR:
```
Er2CrRe3
1.0
-2.016 4.926 -0.560
-0.648 -3.607 -3.901
-2.162 -3.392 3.509
Er Cr Re
2 1 3
Direct
0.750 0.375 0.125
0.250 0.625 0.875
0.000 0.000 0.000
0.500 0.500 0.500
0.000 0.000 0.500
0.500 0.000 0.500
```

Values from the calculation:
N(E_F)   0.458 states/eV per atom
Calculated density   14.5 Mg/m³
Total DFT energy (no corrections)   -0.6991 Ry/atom

***

(2)
This record from Alexandria via LeMat-Bulk describes ErCrRh2 after structural relaxation. The functional is GGA-PBE.

Cell and atoms, written as POSCAR:
```
ErCrRh2
1.0
-0.704 0.314 3.317
-4.328 -0.436 -0.878
0.344 -4.397 0.489
Cr Rh Er
1 2 1
Direct
0.500 0.000 0.000
0.000 0.000 0.500
0.000 0.500 0.000
0.500 0.500 0.500
```

Values from the calculation:
N(E_F)   0.879 states/eV per atom
Calculated density   10.5 Mg/m³
Total DFT energy (no corrections)   -0.5597 Ry/atom
Relative energy among the computed polymorphs   0 meV per atom

***

(3)
This record from Alexandria via LeMat-Bulk describes ErCrRh2 after structural relaxation. The functional is GGA-PBE.

Cell and atoms, written as POSCAR:
```
ErCrRh2
1.0
4.562 0.000 0.000
2.281 3.951 0.000
2.281 1.317 3.725
Cr Rh Er
1 2 1
Direct
0.000 0.000 0.000
0.250 0.250 0.250
0.750 0.750 0.750
0.500 0.500 0.500
```

Values from the calculation:
N(E_F)   1.561 states/eV per atom
Calculated density   10.5 Mg/m³
Total DFT energy (no corrections)   -0.5580 Ry/atom
Relative energy among the computed polymorphs   23 meV per atom